# 1
Compound: HfFe4Sb
Source: the Alexandria database
Functional: GGA-PBE
Structure: relaxed

abc: 4.946 4.946 4.946
angles: 60.00 60.00 60.00
Last column: magnetic moment on the atom in μB.
Sites, in units of the cell vectors:
Hf (0.000, 0.000, 0.000)  -0.45
Fe (0.626, 0.123, 0.626)  2.09
Fe (0.626, 0.626, 0.123)  2.09
Fe (0.626, 0.626, 0.626)  2.09
Fe (0.123, 0.626, 0.626)  2.09
Sb (0.250, 0.250, 0.250)  0.01

Output
Uncorrected formation energy: -149.6 meV per atom
Calculated density: 10.2 g/cm³

# 2
Compound: GdHoRh
Source: the Alexandria database
Functional: GGA-PBE
Structure: relaxed

abc: 4.140 4.546 4.546
angles: 120.00 90.00 90.00
Last column: magnetic moment on the atom in μB.
Sites, in units of the cell vectors:
Rh (0.011, 0.000, 0.000)  -0.03
Ho (0.260, 0.333, 0.667)  0.07
Gd (0.729, 0.667, 0.333)  7.07

Output
Energy of formation from the pure elements: -38.95 kJ per mole of atoms
Calculated density: 9.5 g/cm³
E above lowest polymorph: 168 meV/atom

# 3
Compound: PrGaSi
Source: the Alexandria database
Functional: GGA-PBE
Structure: relaxed

abc: 4.261 4.258 7.193
angles: 90.00 90.00 90.00
Sites, in units of the cell vectors:
Si (0.812, 0.716, 0.819)
Si (0.812, 0.216, 0.974)
Ga (0.812, 0.216, 0.312)
Ga (0.812, 0.716, 0.481)
Pr (0.312, 0.216, 0.655)
Pr (0.312, 0.716, 0.137)

Output
Uncorrected formation energy: -689.2 meV per atom
Calculated density: 6.1 g/cm³

# 4
Compound: Tl9In2Sn
Source: the Alexandria database
Functional: GGA-PBE
Structure: relaxed

abc: 4.736 4.736 16.011
angles: 90.00 90.00 90.00
Sites, in units of the cell vectors:
Sn (0.000, 0.000, 0.000)
Tl (0.000, 0.500, 0.500)
Tl (0.500, 0.000, 0.835)
Tl (0.500, 0.500, 0.668)
Tl (0.500, 0.500, 0.000)
Tl (0.000, 0.500, 0.835)
Tl (0.500, 0.000, 0.500)
Tl (0.500, 0.500, 0.332)
Tl (0.000, 0.500, 0.165)
Tl (0.500, 0.000, 0.165)
In (0.000, 0.000, 0.665)
In (0.000, 0.000, 0.335)

Output
Energy of formation from the pure elements: 3.18 kJ per mole of atoms
Calculated density: 10.1 g/cm³

# 5
Compound: CePuH3
Source: the Alexandria database
Functional: GGA-PBE
Structure: relaxed

abc: 5.472 7.367 6.863
angles: 105.94 90.00 90.00
Last column: magnetic moment on the atom in μB.
Sites, in units of the cell vectors:
Ce (0.765, 0.659, 0.643)  0.85
Ce (0.735, 0.159, 0.643)  0.85
Ce (0.265, 0.841, 0.357)  0.85
Ce (0.235, 0.341, 0.357)  0.85
H (0.285, 0.154, 0.635)  -0.01
H (0.993, 0.913, 0.625)  -0.01
H (0.507, 0.413, 0.625)  -0.01
H (0.007, 0.087, 0.375)  -0.01
H (0.494, 0.753, 0.007)  -0.02
H (0.006, 0.253, 0.007)  -0.02
H (0.506, 0.247, 0.993)  -0.02
H (0.493, 0.587, 0.375)  -0.01
H (0.994, 0.747, 0.993)  -0.02
H (0.715, 0.846, 0.365)  -0.01
H (0.785, 0.346, 0.365)  -0.01
H (0.215, 0.654, 0.635)  -0.01
Pu (0.752, 0.534, 0.128)  5.53
Pu (0.748, 0.034, 0.128)  5.53
Pu (0.252, 0.966, 0.872)  5.53
Pu (0.248, 0.466, 0.872)  5.53

Output
Calculated density: 9.7 g/cm³
E above lowest polymorph: 18 meV/atom

# 6
Compound: Np2PtS6
Source: the Alexandria database
Functional: GGA-PBE
Structure: relaxed

abc: 6.174 6.174 11.169
angles: 90.00 90.00 90.00
Last column: magnetic moment on the atom in μB.
Sites, in units of the cell vectors:
S (0.197, 0.803, 0.850)  -0.11
S (0.303, 0.303, 0.350)  -0.11
S (0.803, 0.197, 0.850)  -0.11
S (0.303, 0.303, 0.650)  -0.11
S (0.192, 0.808, 0.500)  -0.16
S (0.197, 0.803, 0.150)  -0.11
S (0.697, 0.697, 0.350)  -0.11
S (0.808, 0.192, 0.500)  -0.16
S (0.803, 0.197, 0.150)  -0.11
S (0.692, 0.692, 0.000)  -0.16
S (0.697, 0.697, 0.650)  -0.11
S (0.308, 0.308, 0.000)  -0.16
Np (0.500, 0.500, 0.824)  2.83
Np (0.000, 0.000, 0.324)  2.83
Np (0.500, 0.500, 0.176)  2.83
Np (0.000, 0.000, 0.676)  2.83
Pt (0.500, 0.500, 0.500)  0.00
Pt (0.000, 0.000, 0.000)  0.00

Output
Uncorrected formation energy: -761.9 meV per atom
Calculated density: 6.7 g/cm³

# 7
Compound: KZrMo
Source: the Alexandria database
Functional: GGA-PBE
Structure: relaxed

abc: 7.303 7.303 7.303
angles: 152.08 152.09 39.89
Sites, in units of the cell vectors:
Zr (0.718, 0.718, 0.000)
K (0.990, 0.990, 0.000)
Mo (0.292, 0.292, 0.000)

Output
Energy of formation from the pure elements: 83.55 kJ per mole of atoms
Calculated density: 4.4 g/cm³
E above lowest polymorph: 102 meV/atom

# 8
Compound: Ca3TaGa
Source: the Alexandria database
Functional: GGA-PBE
Structure: relaxed

abc: 5.607 5.607 5.607
angles: 90.00 90.00 90.00
Sites, in units of the cell vectors:
Ca (0.500, 0.000, 0.000)
Ca (0.000, 0.500, 0.000)
Ca (0.000, 0.000, 0.500)
Ta (0.000, 0.000, 0.000)
Ga (0.500, 0.500, 0.500)

Output
Energy of formation from the pure elements: 100.52 kJ per mole of atoms
Calculated density: 3.5 g/cm³
E above lowest polymorph: 176 meV/atom

- Number 8 is which compound?
  Ca3TaGa